Entry 1:
VASP calculation (PBE) on crystalline SrLi4Ag4 at its relaxed geometry.

Output
Calculated volume = 19.53 Å³ per atom
E_tot = -44.3 eV/cell
Total magnetic moment = 0.0 μB per formula unit

abc: 8.5684 8.5684 4.7888
angles: 90.00 90.00 90.00
With the nearest neighbours (Å) after each atom.
Space group I4/m (No. 87)
Unique sites:
Sr  0.0000  0.0000  0.0000 (multiplicity 2)  4 Li 3.23, 8 Ag 3.38
Li  0.0722  0.3705  0.0000 (multiplicity 8)  1 Li 2.54, 3 Ag 2.61-2.72
Ag  0.1439  0.2387  0.5000 (multiplicity 8)  5 Li 2.61-2.86

Entry 2:
VASP calculation (PBE) on crystalline Sr2Li2Ag at its relaxed geometry.

Output
Calculated volume = 30.82 Å³ per atom
Total magnetic moment = 0.0 μB per formula unit
Energy relative to the lowest polymorph listed for this composition = 0.42 eV per formula unit

abc: 7.7401 7.7401 5.1450
angles: 90.00 90.00 90.00
With the nearest neighbours (Å) after each atom.
Space group P4/mbm (No. 127)
Unique sites:
Sr  0.1850  0.3150  0.0000 (multiplicity 4)  6 Li 3.27-3.58
Li  0.1312  0.6312  0.5000 (multiplicity 4)  1 Li 2.87, 2 Ag 3.03
Ag  0.0000  0.0000  0.5000 (multiplicity 2)  4 Li 3.03

Entry 3:
VASP calculation (PBE) on crystalline SrLi2Ag2 at its relaxed geometry.

Output
Calculated volume = 23.74 Å³ per atom
Total magnetic moment = 0.0 μB per formula unit
Energy relative to the lowest polymorph listed for this composition = 0.02 eV per formula unit

abc: 4.3758 4.3758 12.3984
angles: 90.00 90.00 90.00
With the nearest neighbours (Å) after each atom.
Space group I4/mmm (No. 139)
Unique sites:
Sr  0.0000  0.0000  0.0000 (multiplicity 2)  8 Ag 3.40, 8 Li 3.79
Li  0.0000  0.5000  0.2500 (multiplicity 4)  4 Ag 2.76, 4 Li 3.09
Ag  0.0000  0.0000  0.3862 (multiplicity 4)  4 Li 2.76, 1 Ag 2.82

Entry 4:
VASP calculation (PBE) on crystalline SrLi2Ag6 at its relaxed geometry.

Output
Calculated volume = 23.19 Å³ per atom
E_tot = -172.1 eV/cell
Total magnetic moment = 0.0 μB per formula unit

abc: 11.8626 11.8626 11.8626
angles: 90.00 90.00 90.00
With the nearest neighbours (Å) after each atom.
Space group Fd-3m (No. 227, origin choice 2)
Unique sites:
Sr  0.1250  0.1250  0.1250 (multiplicity 8)  6 Ag 3.04
Li  0.0000  0.0000  0.5000 (multiplicity 16)  6 Ag 2.52
Ag  0.1183  0.3750  0.8750 (multiplicity 48)  2 Li 2.52

Entry 5:
VASP calculation (PBE) on crystalline Sr2Li2Ag at its relaxed geometry.

Output
Calculated volume = 31.29 Å³ per atom
Total magnetic moment = 0.0 μB per formula unit
Energy relative to the lowest polymorph listed for this composition = 0.17 eV per formula unit

abc: 3.9743 3.9743 19.8105
angles: 90.00 90.00 90.00
With the nearest neighbours (Å) after each atom.
Space group I4/mmm (No. 139)
Unique sites:
Sr  0.0000  0.0000  0.0964 (multiplicity 4)  4 Ag 3.40, 4 Li 3.63
Li  0.0000  0.5000  0.2500 (multiplicity 4)  4 Li 2.81
Ag  0.0000  0.0000  0.5000 (multiplicity 2)  8 Sr 3.40

Entry 6:
VASP calculation (PBE) on crystalline Sr5Li2Ag2 at its relaxed geometry.

Output
Calculated volume = 37.61 Å³ per atom
E_tot = -37.2 eV/cell
Total magnetic moment = 0.0 μB per formula unit

abc: 7.2336 9.9284 11.1573
angles: 115.17 107.15 93.38
With the nearest neighbours (Å) after each atom.
Space group P1 (No. 1)
Unique sites:
Sr  0.0000  0.0000  0.0000 (multiplicity 1)  2 Ag 3.22-3.35, 1 Li 3.42
Sr  0.0029  0.2631  0.4019 (multiplicity 1)  2 Ag 3.37-3.45, 4 Li 3.40-3.66, 1 Sr 3.70
Sr  0.3054  0.0292  0.5823 (multiplicity 1)  2 Ag 3.19-3.37, 1 Li 3.48
Sr  0.3408  0.7042  0.7949 (multiplicity 1)  2 Ag 3.22-3.46, 2 Li 3.54
Sr  0.3955  0.6568  0.1892 (multiplicity 1)  2 Ag 3.36-3.45, 4 Li 3.40-3.68, 1 Sr 3.71
Sr  0.5184  0.2428  0.0059 (multiplicity 1)  2 Ag 3.19-3.38, 1 Li 3.48
Sr  0.5279  0.3741  0.4520 (multiplicity 1)  4 Ag 3.40-3.75, 2 Li 3.66-3.69, 2 Sr 3.70-3.79
Sr  0.7940  0.7946  0.5897 (multiplicity 1)  2 Ag 3.22-3.34, 1 Li 3.43
Sr  0.8707  0.7168  0.1373 (multiplicity 1)  3 Ag 3.39-3.46, 2 Li 3.66-3.69, 2 Sr 3.71-3.79
Sr  0.9494  0.3180  0.7947 (multiplicity 1)  2 Ag 3.31-3.45, 2 Li 3.65
Li  0.0475  0.3871  0.1582 (multiplicity 1)  1 Ag 2.80, 1 Li 2.85
Li  0.1888  0.6344  0.4381 (multiplicity 1)  1 Ag 2.70, 1 Li 2.85
Li  0.5477  0.9926  0.1511 (multiplicity 1)  1 Ag 2.70, 1 Li 2.86
Li  0.6840  0.0237  0.4311 (multiplicity 1)  1 Ag 2.81, 1 Li 2.86
Ag  0.2868  0.0037  0.2836 (multiplicity 1)  2 Li 2.70-2.81
Ag  0.4941  0.4054  0.7916 (multiplicity 1)  1 Ag 3.02, 3 Sr 3.22-3.38
Ag  0.7967  0.5144  0.3052 (multiplicity 1)  2 Li 2.70-2.80
Ag  0.8015  0.6277  0.7947 (multiplicity 1)  1 Ag 3.02, 3 Sr 3.31-3.35

Entry 7:
VASP calculation (PBE) on crystalline SrLiAg2 at its relaxed geometry.

Output
Calculated volume = 25.19 Å³ per atom
Total magnetic moment = 0.0 μB per formula unit
Energy relative to the lowest polymorph listed for this composition = 0.00 eV per formula unit

abc: 4.6600 4.6600 10.7146
angles: 90.00 90.00 120.00
With the nearest neighbours (Å) after each atom.
Space group P6_3/mmc (No. 194)
Unique sites:
Sr  0.3333  0.6667  0.2500 (multiplicity 2)  8 Ag 3.29-3.39
Li  0.0000  0.0000  0.0000 (multiplicity 2)  6 Ag 2.76
Ag  0.3333  0.6667  0.5569 (multiplicity 4)  3 Li 2.76, 3 Ag 2.95

Entry 8:
VASP calculation (PBE) on crystalline SrLi2Ag2 at its relaxed geometry.

Output
Calculated volume = 22.88 Å³ per atom
Total magnetic moment = 0.0 μB per formula unit
Energy relative to the lowest polymorph listed for this composition = 0.63 eV per formula unit

abc: 8.0571 8.0571 3.5246
angles: 90.00 90.00 90.00
With the nearest neighbours (Å) after each atom.
Space group P4/mbm (No. 127)
Unique sites:
Sr  0.0000  0.0000  0.0000 (multiplicity 2)  4 Ag 3.16, 2 Sr 3.52
Li  0.1434  0.3566  0.5000 (multiplicity 4)  6 Ag 2.83-3.12
Ag  0.1305  0.6305  0.0000 (multiplicity 4)  6 Li 2.83-3.12, 1 Ag 2.97, 2 Sr 3.16

Entry 9:
VASP calculation (PBE) on crystalline Sr2Li5Ag3 at its relaxed geometry.

Output
Calculated volume = 25.09 Å³ per atom
Total magnetic moment = 0.0 μB per formula unit
Energy relative to the lowest polymorph listed for this composition = 0.37 eV per formula unit

abc: 4.5057 4.5057 12.3572
angles: 90.00 90.00 90.00
With the nearest neighbours (Å) after each atom.
Space group P-4m2 (No. 115)
Unique sites:
Sr  0.0000  0.5000  0.2262 (multiplicity 2)  6 Ag 3.36-3.59, 6 Li 3.57-3.59
Li  0.0000  0.0000  0.5000 (multiplicity 1)  8 Li 2.87-3.19
Li  0.0000  0.5000  0.6443 (multiplicity 2)  1 Ag 2.66, 4 Li 2.87
Li  0.5000  0.5000  0.0000 (multiplicity 1)  4 Ag 2.84
Li  0.5000  0.5000  0.5000 (multiplicity 1)  8 Li 2.87-3.19
Ag  0.0000  0.0000  0.0000 (multiplicity 1)  4 Ag 2.84
Ag  0.0000  0.5000  0.8598 (multiplicity 2)  3 Li 2.66-2.84, 2 Ag 2.84

Entry 10:
VASP calculation (PBE) on crystalline Sr2Li17Ag3 at its relaxed geometry.

Output
Calculated volume = 23.40 Å³ per atom
E_tot = -133.8 eV/cell
Total magnetic moment = 0.0 μB per formula unit

abc: 10.7866 10.7866 15.3262
angles: 90.00 90.00 120.00
With the nearest neighbours (Å) after each atom.
Space group R-3m (No. 166, hexagonal axes)
Unique sites:
Sr  0.0000  0.0000  0.1679 (multiplicity 6)  3 Ag 3.11
Li  0.0000  0.0000  0.4061 (multiplicity 6)  7 Li 2.88-3.17
Li  0.0000  0.2614  0.5000 (multiplicity 18)  1 Ag 2.57, 2 Li 2.82
Li  0.0000  0.5000  0.0000 (multiplicity 9)  10 Li 2.99-3.31
Li  0.0049  0.5025  0.6713 (multiplicity 18)  1 Ag 2.63
Ag  0.0000  0.5000  0.5000 (multiplicity 9)  4 Li 2.57-2.63

Entry 11:
VASP calculation (PBE) on crystalline Sr6LiAg at its relaxed geometry.

Output
Calculated volume = 43.49 Å³ per atom
E_tot = -30.6 eV/cell
Total magnetic moment = 0.0 μB per formula unit

abc: 5.8203 5.8203 20.5422
angles: 90.00 90.00 90.00
With the nearest neighbours (Å) after each atom.
Space group I4/mmm (No. 139)
Unique sites:
Sr  0.0000  0.0000  0.2481 (multiplicity 4)  12 Sr 4.12-4.33
Sr  0.0000  0.5000  0.0962 (multiplicity 8)  2 Li 3.52, 2 Ag 3.52
Li  0.0000  0.0000  0.0000 (multiplicity 2)  8 Sr 3.52
Ag  0.0000  0.0000  0.5000 (multiplicity 2)  8 Sr 3.52

no.,D(E_F) (states/eV/f.u.)
1,3.342
2,2.869
3,2.288
4,2.077
5,2.606
6,7.557
7,1.412
8,1.982
9,3.034
10,10.351
11,7.816